# LiNbOF2 GGA-PBEsol optimized geometry
# E: -30.96 eV/f.u.
# total magnetization: 1.5 μB per cell
# DOS(E_F): 2.85 states/eV/cell
# calculated density: 5.655 g/cm3
data_LiNbOF2
_space_group_name_H-M_alt 'P 1'
_space_group_IT_number 1
_space_group_name_Hall 'P 1'
_cell_length_a 3.334
_cell_length_b 3.334
_cell_length_c 4.064
_cell_angle_alpha 90.00
_cell_angle_beta 90.00
_cell_angle_gamma 90.00
loop_
_atom_site_label
_atom_site_type_symbol
_atom_site_fract_x
_atom_site_fract_y
_atom_site_fract_z
Li1 Li 0.000 0.000 0.000
Nb1 Nb 0.500 0.500 0.500
O1 O 0.000 0.000 0.500
F1 F 0.000 0.500 0.000
F2 F 0.500 0.000 0.000